(1)
# PBE Nd3Ho3Tl5, relaxed
# - E_form: 0.275 eV per atom
# - DOS(E_F): 10.3 states/eV/f.u.
data_Nd3Ho3Tl5
_space_group_name_H-M_alt 'P -6 2 m'
_space_group_IT_number 189
_space_group_name_Hall 'P -6 -2'
_cell_length_a 9.3001
_cell_length_b 9.3001
_cell_length_c 5.6873
_cell_angle_alpha 90.00
_cell_angle_beta 90.00
_cell_angle_gamma 120.00
loop_
_atom_site_label
_atom_site_type_symbol
_atom_site_fract_x
_atom_site_fract_y
_atom_site_fract_z
_atom_site_occupancy
Nd1 Nd 0.0000 0.4336 0.0000 1
Ho1 Ho 0.0000 0.6803 0.5000 1
Tl1 Tl 0.0000 0.3122 0.5000 1
Tl2 Tl 0.3333 0.6667 0.5000 1



(2)
# PBE Nd4Ho9Tl11, relaxed
# - E_form: -0.266 eV per atom
# - DOS(E_F): 24.3 states/eV/f.u.
data_Nd4Ho9Tl11
_space_group_name_H-M_alt 'C m m m'
_space_group_IT_number 65
_space_group_name_Hall '-C 2 2'
_cell_length_a 16.278
_cell_length_b 23.241
_cell_length_c 3.570
_cell_angle_alpha 90.00
_cell_angle_beta 90.00
_cell_angle_gamma 90.00
loop_
_atom_site_label
_atom_site_type_symbol
_atom_site_fract_x
_atom_site_fract_y
_atom_site_fract_z
_atom_site_occupancy
Nd1 Nd 0.170 0.081 0.000 1
Ho1 Ho 0.000 0.000 0.000 1
Ho2 Ho 0.107 0.404 0.000 1
Ho3 Ho 0.113 0.226 0.000 1
Tl1 Tl 0.000 0.124 0.500 1
Tl2 Tl 0.000 0.312 0.500 1
Tl3 Tl 0.000 0.500 0.500 1
Tl4 Tl 0.203 0.500 0.500 1
Tl5 Tl 0.226 0.318 0.500 1



(3)
# PBE NdHoTm2Tl2, relaxed
# - E_form: -0.259 eV per atom
# - DOS(E_F): 5.8 states/eV/f.u.
data_NdHoTm2Tl2
_space_group_name_H-M_alt 'P m c 21'
_space_group_IT_number 26
_cell_length_a 5.110
_cell_length_b 9.996
_cell_length_c 6.789
_cell_angle_alpha 90.00
_cell_angle_beta 90.00
_cell_angle_gamma 90.00
loop_
_space_group_symop_operation_xyz
'x,y,z'
'-x,-y,z+1/2'
'-x,y,z'
'x,-y,z+1/2'
loop_
_atom_site_label
_atom_site_type_symbol
_atom_site_fract_x
_atom_site_fract_y
_atom_site_fract_z
_atom_site_occupancy
Nd1 Nd 0.000 0.041 0.000 1
Ho1 Ho 0.500 0.193 0.722 1
Tm1 Tm 0.000 0.318 0.379 1
Tm2 Tm 0.500 0.457 0.092 1
Tl1 Tl 0.000 0.369 0.839 1
Tl2 Tl 0.500 0.141 0.261 1



(4)
# PBE NdHo2TmTl4, relaxed
# - E_form: -0.330 eV per atom
# - DOS(E_F): 6.4 states/eV/f.u.
data_NdHo2TmTl4
_space_group_name_H-M_alt 'R -3 m'
_space_group_IT_number 166
_space_group_name_Hall '-R 3 2"'
_cell_length_a 5.3815
_cell_length_b 5.3815
_cell_length_c 26.4947
_cell_angle_alpha 90.00
_cell_angle_beta 90.00
_cell_angle_gamma 120.00
loop_
_atom_site_label
_atom_site_type_symbol
_atom_site_fract_x
_atom_site_fract_y
_atom_site_fract_z
_atom_site_occupancy
Nd1 Nd 0.0000 0.0000 0.0000 1
Ho1 Ho 0.0000 0.0000 0.2491 1
Tm1 Tm 0.0000 0.0000 0.5000 1
Tl1 Tl 0.0000 0.0000 0.1268 1
Tl2 Tl 0.0000 0.0000 0.3771 1



(5)
# PBE NdHoTm2Tl4, relaxed
# - E_form: -0.322 eV per atom
# - DOS(E_F): 6.4 states/eV/f.u.
data_NdHoTm2Tl4
_space_group_name_H-M_alt 'R -3 m'
_space_group_IT_number 166
_space_group_name_Hall '-R 3 2"'
_cell_length_a 5.3705
_cell_length_b 5.3705
_cell_length_c 26.4448
_cell_angle_alpha 90.00
_cell_angle_beta 90.00
_cell_angle_gamma 120.00
loop_
_atom_site_label
_atom_site_type_symbol
_atom_site_fract_x
_atom_site_fract_y
_atom_site_fract_z
_atom_site_occupancy
Nd1 Nd 0.0000 0.0000 0.0000 1
Ho1 Ho 0.0000 0.0000 0.5000 1
Tm1 Tm 0.0000 0.0000 0.2494 1
Tl1 Tl 0.0000 0.0000 0.1267 1
Tl2 Tl 0.0000 0.0000 0.3768 1



(6)
# PBE NdHo2TmTl2, relaxed
# - E_form: -0.263 eV per atom
# - DOS(E_F): 5.9 states/eV/f.u.
data_NdHo2TmTl2
_space_group_name_H-M_alt 'P m c 21'
_space_group_IT_number 26
_cell_length_a 5.113
_cell_length_b 9.996
_cell_length_c 6.845
_cell_angle_alpha 90.00
_cell_angle_beta 90.00
_cell_angle_gamma 90.00
loop_
_space_group_symop_operation_xyz
'x,y,z'
'-x,-y,z+1/2'
'-x,y,z'
'x,-y,z+1/2'
loop_
_atom_site_label
_atom_site_type_symbol
_atom_site_fract_x
_atom_site_fract_y
_atom_site_fract_z
_atom_site_occupancy
Nd1 Nd 0.000 0.044 0.000 1
Ho1 Ho 0.000 0.318 0.381 1
Ho2 Ho 0.500 0.454 0.094 1
Tm1 Tm 0.500 0.193 0.719 1
Tl1 Tl 0.000 0.367 0.839 1
Tl2 Tl 0.500 0.136 0.265 1



(7)
# PBE Nd2HoTmTl4, relaxed
# - E_form: -0.346 eV per atom
# - DOS(E_F): 6.2 states/eV/f.u.
data_Nd2HoTmTl4
_space_group_name_H-M_alt 'R -3 m'
_space_group_IT_number 166
_space_group_name_Hall '-R 3 2"'
_cell_length_a 5.4252
_cell_length_b 5.4252
_cell_length_c 26.6481
_cell_angle_alpha 90.00
_cell_angle_beta 90.00
_cell_angle_gamma 120.00
loop_
_atom_site_label
_atom_site_type_symbol
_atom_site_fract_x
_atom_site_fract_y
_atom_site_fract_z
_atom_site_occupancy
Nd1 Nd 0.0000 0.0000 0.2503 1
Ho1 Ho 0.0000 0.0000 0.5000 1
Tm1 Tm 0.0000 0.0000 0.0000 1
Tl1 Tl 0.0000 0.0000 0.1248 1
Tl2 Tl 0.0000 0.0000 0.3748 1



(8)
# PBE Nd2HoTmTl2, relaxed
# - E_form: -0.264 eV per atom
# - DOS(E_F): 6.2 states/eV/f.u.
data_Nd2HoTmTl2
_space_group_name_H-M_alt 'P m c 21'
_space_group_IT_number 26
_cell_length_a 5.127
_cell_length_b 10.182
_cell_length_c 6.869
_cell_angle_alpha 90.00
_cell_angle_beta 90.00
_cell_angle_gamma 90.00
loop_
_space_group_symop_operation_xyz
'x,y,z'
'-x,-y,z+1/2'
'-x,y,z'
'x,-y,z+1/2'
loop_
_atom_site_label
_atom_site_type_symbol
_atom_site_fract_x
_atom_site_fract_y
_atom_site_fract_z
_atom_site_occupancy
Nd1 Nd 0.000 0.043 0.000 1
Nd2 Nd 0.500 0.188 0.271 1
Ho1 Ho 0.500 0.459 0.902 1
Tm1 Tm 0.000 0.316 0.620 1
Tl1 Tl 0.000 0.377 0.160 1
Tl2 Tl 0.500 0.147 0.741 1



(9)
# PBE Nd2YHoTl2, relaxed
# - E_form: -0.278 eV per atom
# - DOS(E_F): 6.6 states/eV/f.u.
data_Nd2YHoTl2
_space_group_name_H-M_alt 'P m c 21'
_space_group_IT_number 26
_cell_length_a 5.148
_cell_length_b 10.206
_cell_length_c 6.900
_cell_angle_alpha 90.00
_cell_angle_beta 90.00
_cell_angle_gamma 90.00
loop_
_space_group_symop_operation_xyz
'x,y,z'
'-x,-y,z+1/2'
'-x,y,z'
'x,-y,z+1/2'
loop_
_atom_site_label
_atom_site_type_symbol
_atom_site_fract_x
_atom_site_fract_y
_atom_site_fract_z
_atom_site_occupancy
Nd1 Nd 0.000 0.044 0.000 1
Nd2 Nd 0.500 0.187 0.270 1
Y1 Y 0.500 0.457 0.898 1
Ho1 Ho 0.000 0.315 0.616 1
Tl1 Tl 0.000 0.376 0.156 1
Tl2 Tl 0.500 0.144 0.740 1



(10)
# PBE NdY2HoTl2, relaxed
# - E_form: -0.288 eV per atom
# - DOS(E_F): 6.4 states/eV/f.u.
data_NdY2HoTl2
_space_group_name_H-M_alt 'P m c 21'
_space_group_IT_number 26
_cell_length_a 5.131
_cell_length_b 10.062
_cell_length_c 6.888
_cell_angle_alpha 90.00
_cell_angle_beta 90.00
_cell_angle_gamma 90.00
loop_
_space_group_symop_operation_xyz
'x,y,z'
'-x,-y,z+1/2'
'-x,y,z'
'x,-y,z+1/2'
loop_
_atom_site_label
_atom_site_type_symbol
_atom_site_fract_x
_atom_site_fract_y
_atom_site_fract_z
_atom_site_occupancy
Nd1 Nd 0.000 0.045 0.000 1
Y1 Y 0.000 0.316 0.382 1
Y2 Y 0.500 0.454 0.096 1
Ho1 Ho 0.500 0.192 0.721 1
Tl1 Tl 0.000 0.369 0.840 1
Tl2 Tl 0.500 0.135 0.264 1



(11)
# PBE Nd2HoTl2Zn2, relaxed
# - E_form: -0.176 eV per atom
# - DOS(E_F): 3.5 states/eV/f.u.
data_Nd2HoTl2Zn2
_space_group_name_H-M_alt 'R -3 m'
_space_group_IT_number 166
_space_group_name_Hall '-R 3 2"'
_cell_length_a 4.7576
_cell_length_b 4.7576
_cell_length_c 28.4357
_cell_angle_alpha 90.00
_cell_angle_beta 90.00
_cell_angle_gamma 120.00
loop_
_atom_site_label
_atom_site_type_symbol
_atom_site_fract_x
_atom_site_fract_y
_atom_site_fract_z
_atom_site_occupancy
Nd1 Nd 0.0000 0.0000 0.1254 1
Ho1 Ho 0.0000 0.0000 0.0000 1
Tl1 Tl 0.0000 0.0000 0.2666 1
Zn1 Zn 0.0000 0.0000 0.3876 1



(12)
# PBE NdHo3Tm5, relaxed
# - E_form: 0.427 eV per atom
# - E above lowest polymorph: 0.297 eV per atom
# - DOS(E_F): 13.9 states/eV/f.u.
data_NdHo3Tm5
_space_group_name_H-M_alt 'C 1 2/m 1'
_space_group_IT_number 12
_cell_length_a 16.715
_cell_length_b 7.888
_cell_length_c 12.089
_cell_angle_alpha 90.00
_cell_angle_beta 130.48
_cell_angle_gamma 90.00
loop_
_space_group_symop_operation_xyz
'x,y,z'
'-x,-y,-z'
'-x,y,-z'
'x,-y,z'
'x+1/2,y+1/2,z'
'-x+1/2,-y+1/2,-z'
'-x+1/2,y+1/2,-z'
'x+1/2,-y+1/2,z'
loop_
_atom_site_label
_atom_site_type_symbol
_atom_site_fract_x
_atom_site_fract_y
_atom_site_fract_z
_atom_site_occupancy
Nd1 Nd 0.237 0.000 0.132 1
Ho1 Ho 0.000 0.000 0.000 1
Ho2 Ho 0.000 0.500 0.500 1
Ho3 Ho 0.121 0.500 0.315 1
Ho4 Ho 0.170 0.000 0.340 1
Tm1 Tm 0.000 0.322 0.000 1
Tm2 Tm 0.065 0.206 0.781 1
Tm3 Tm 0.121 0.000 0.565 1
Tm4 Tm 0.201 0.500 0.073 1



(13)
# PBE Nd4Ho11Tm9, relaxed
# - E_form: 0.063 eV per atom
# - DOS(E_F): 29.6 states/eV/f.u.
data_Nd4Ho11Tm9
_space_group_name_H-M_alt 'C m m m'
_space_group_IT_number 65
_space_group_name_Hall '-C 2 2'
_cell_length_a 16.567
_cell_length_b 24.944
_cell_length_c 3.660
_cell_angle_alpha 90.00
_cell_angle_beta 90.00
_cell_angle_gamma 90.00
loop_
_atom_site_label
_atom_site_type_symbol
_atom_site_fract_x
_atom_site_fract_y
_atom_site_fract_z
_atom_site_occupancy
Nd1 Nd 0.155 0.100 0.000 1
Ho1 Ho 0.000 0.135 0.500 1
Ho2 Ho 0.000 0.341 0.500 1
Ho3 Ho 0.000 0.500 0.500 1
Ho4 Ho 0.213 0.000 0.500 1
Ho5 Ho 0.225 0.319 0.500 1
Tm1 Tm 0.000 0.000 0.000 1
Tm2 Tm 0.102 0.236 0.000 1
Tm3 Tm 0.138 0.427 0.000 1



(14)
# PBE Nd3Ho5Tm, relaxed
# - E_form: 0.530 eV per atom
# - DOS(E_F): 12.4 states/eV/f.u.
data_Nd3Ho5Tm
_space_group_name_H-M_alt 'C 1 2/m 1'
_space_group_IT_number 12
_cell_length_a 15.311
_cell_length_b 11.320
_cell_length_c 10.004
_cell_angle_alpha 90.00
_cell_angle_beta 130.49
_cell_angle_gamma 90.00
loop_
_space_group_symop_operation_xyz
'x,y,z'
'-x,-y,-z'
'-x,y,-z'
'x,-y,z'
'x+1/2,y+1/2,z'
'-x+1/2,-y+1/2,-z'
'-x+1/2,y+1/2,-z'
'x+1/2,-y+1/2,z'
loop_
_atom_site_label
_atom_site_type_symbol
_atom_site_fract_x
_atom_site_fract_y
_atom_site_fract_z
_atom_site_occupancy
Nd1 Nd 0.000 0.000 0.000 1
Nd2 Nd 0.000 0.500 0.500 1
Nd3 Nd 0.009 0.000 0.308 1
Nd4 Nd 0.024 0.500 0.863 1
Ho1 Ho 0.000 0.242 0.500 1
Ho2 Ho 0.160 0.249 0.253 1
Ho3 Ho 0.217 0.000 0.726 1
Ho4 Ho 0.221 0.500 0.534 1
Tm1 Tm 0.248 0.500 0.896 1



(15)
# PBE Nd7Ho3Tm2, relaxed
# - E_form: 0.278 eV per atom
# - E above lowest polymorph: 0.160 eV per atom
# - DOS(E_F): 18.2 states/eV/f.u.
data_Nd7Ho3Tm2
_space_group_name_H-M_alt 'P 1 2/m 1'
_space_group_IT_number 10
_cell_length_a 6.317
_cell_length_b 5.533
_cell_length_c 12.204
_cell_angle_alpha 90.00
_cell_angle_beta 90.14
_cell_angle_gamma 90.00
loop_
_space_group_symop_operation_xyz
'x,y,z'
'-x,-y,-z'
'-x,y,-z'
'x,-y,z'
loop_
_atom_site_label
_atom_site_type_symbol
_atom_site_fract_x
_atom_site_fract_y
_atom_site_fract_z
_atom_site_occupancy
Nd1 Nd 0.000 0.000 0.000 1
Nd2 Nd 0.093 0.500 0.172 1
Nd3 Nd 0.246 0.500 0.455 1
Nd4 Nd 0.441 0.000 0.187 1
Ho1 Ho 0.070 0.000 0.656 1
Ho2 Ho 0.500 0.500 0.000 1
Tm1 Tm 0.380 0.500 0.725 1



(16)
# PBE Nd4HoTm5, relaxed
# - E_form: 0.196 eV per atom
# - E above lowest polymorph: 0.000 eV per atom
# - DOS(E_F): 13.5 states/eV/f.u.
data_Nd4HoTm5
_space_group_name_H-M_alt 'P -1'
_space_group_IT_number 2
_cell_length_a 3.508
_cell_length_b 8.691
_cell_length_c 11.258
_cell_angle_alpha 89.91
_cell_angle_beta 90.00
_cell_angle_gamma 78.43
loop_
_space_group_symop_operation_xyz
'x,y,z'
'-x,-y,-z'
loop_
_atom_site_label
_atom_site_type_symbol
_atom_site_fract_x
_atom_site_fract_y
_atom_site_fract_z
_atom_site_occupancy
Nd1 Nd 0.032 0.434 0.249 1
Nd2 Nd 0.343 0.818 0.250 1
Ho1 Ho 0.500 0.500 0.500 1
Tm1 Tm 0.172 0.154 0.047 1
Tm2 Tm 0.173 0.153 0.452 1
Tm3 Tm 0.500 0.500 0.000 1



(17)
# PBE Nd12Ho6Tm, relaxed
# - E_form: 0.017 eV per atom
# - E above lowest polymorph: 0.000 eV per atom
# - DOS(E_F): 26.6 states/eV/f.u.
data_Nd12Ho6Tm
_space_group_name_H-M_alt 'R -3'
_space_group_IT_number 148
_space_group_name_Hall '-R 3'
_cell_length_a 15.7733
_cell_length_b 15.7733
_cell_length_c 8.8839
_cell_angle_alpha 90.00
_cell_angle_beta 90.00
_cell_angle_gamma 120.00
loop_
_atom_site_label
_atom_site_type_symbol
_atom_site_fract_x
_atom_site_fract_y
_atom_site_fract_z
_atom_site_occupancy
Nd1 Nd 0.0353 0.7556 0.3361 1
Nd2 Nd 0.0714 0.5093 0.6662 1
Ho1 Ho 0.0170 0.8796 0.6661 1
Tm1 Tm 0.0000 0.0000 0.0000 1



(18)
# PBE Nd3Ho3Tm2, relaxed
# - E_form: 0.084 eV per atom
# - E above lowest polymorph: 0.059 eV per atom
# - DOS(E_F): 12.8 states/eV/f.u.
data_Nd3Ho3Tm2
_space_group_name_H-M_alt 'C 1 2/m 1'
_space_group_IT_number 12
_cell_length_a 16.342
_cell_length_b 5.695
_cell_length_c 5.987
_cell_angle_alpha 90.00
_cell_angle_beta 110.28
_cell_angle_gamma 90.00
loop_
_space_group_symop_operation_xyz
'x,y,z'
'-x,-y,-z'
'-x,y,-z'
'x,-y,z'
'x+1/2,y+1/2,z'
'-x+1/2,-y+1/2,-z'
'-x+1/2,y+1/2,-z'
'x+1/2,-y+1/2,z'
loop_
_atom_site_label
_atom_site_type_symbol
_atom_site_fract_x
_atom_site_fract_y
_atom_site_fract_z
_atom_site_occupancy
Nd1 Nd 0.000 0.000 0.000 1
Nd2 Nd 0.136 0.000 0.698 1
Ho1 Ho 0.000 0.500 0.500 1
Ho2 Ho 0.133 0.500 0.082 1
Tm1 Tm 0.250 0.000 0.318 1



(19)
# PBE Nd3HoTm7, relaxed
# - E_form: 0.178 eV per atom
# - E above lowest polymorph: 0.019 eV per atom
# - DOS(E_F): 16.6 states/eV/f.u.
data_Nd3HoTm7
_space_group_name_H-M_alt 'P 3 m 1'
_space_group_IT_number 156
_cell_length_a 7.0061
_cell_length_b 7.0061
_cell_length_c 8.6212
_cell_angle_alpha 90.00
_cell_angle_beta 90.00
_cell_angle_gamma 120.00
loop_
_space_group_symop_operation_xyz
'x,y,z'
'-y,x-y,z'
'-x+y,-x,z'
'-y,-x,z'
'-x+y,y,z'
'x,x-y,z'
loop_
_atom_site_label
_atom_site_type_symbol
_atom_site_fract_x
_atom_site_fract_y
_atom_site_fract_z
_atom_site_occupancy
Nd1 Nd 0.9999 0.4999 0.0000 1
Ho1 Ho 0.3333 0.6667 0.6606 1
Tm1 Tm 0.1673 0.3347 0.3385 1
Tm2 Tm 0.3348 0.1674 0.6606 1
Tm3 Tm 0.6667 0.3333 0.3392 1